VASP calculation (PBE) on crystalline Re2Sb3 at its relaxed geometry.

Cell: 9.8047 8.2633 6.3634 Å, 83.09 56.79 40.11°
With the nearest neighbours (Å) after each atom.
Fractional positions:
Re (0.9182, 0.2717, 0.4213)  6 Sb 2.62-2.81
Re (0.9783, 0.3318, 0.8611)  6 Sb 2.62-2.81
Re (0.8287, 0.8611, 0.3318)  6 Sb 2.62-2.81
Re (0.3889, 0.4213, 0.2717)  6 Sb 2.62-2.81
Sb (0.8321, 0.0211, 0.6676)  4 Re 2.67-2.81
Sb (0.1316, 0.3684, 0.3684)  4 Re 2.62-2.74
Sb (0.2289, 0.4179, 0.7708)  4 Re 2.67-2.81
Sb (0.5824, 0.7708, 0.4179)  4 Re 2.67-2.81
Sb (0.4792, 0.6676, 0.0211)  4 Re 2.67-2.81
Sb (0.8816, 0.1184, 0.1184)  4 Re 2.62-2.74

formation energy from raw total energies	2.850	eV/f.u.